Density functional theory data (GGA-PBE) for BePd after structural relaxation.

Summary:
- Energy of formation: -0.34 eV per atom

Cell lengths 2.8442, 3.8600, 2.8424 Å; angles 112.26, 120.50, 67.78 degrees
Sites, in units of the cell vectors:
Be  0.7685  0.5777  0.4018
Pd  0.2684  0.0776  0.9013

Density functional theory data (GGA-PBE) for DyBr3 after structural relaxation.

Summary:
- Formation energy (no corrections): -1.829 eV/atom

Cell lengths 3.7484, 7.2893, 7.1815 Å; angles 120.50, 105.13, 90.00 degrees
Sites, in units of the cell vectors:
Br  0.3446  0.7409  0.6893
Br  0.5000  0.3321  0.0000
Br  0.6554  0.0517  0.3107
Dy  0.0000  0.0420  0.0000

Density functional theory data (GGA-PBE) for CsK2TlAg after structural relaxation.

Summary:
- Energy of formation: 0.05 eV per atom
- Excess energy over the best structure of this formula in the dataset: 0.0 meV/atom

Cell lengths 6.7202, 6.7202, 5.5408 Å; angles 90.00, 90.00, 90.00 degrees
Sites, in units of the cell vectors:
Cs  0.5000  0.5000  0.5000
K  0.0000  0.5000  0.0000
K  0.5000  0.0000  0.0000
Ag  0.0000  0.0000  0.0000
Tl  0.0000  0.0000  0.5000

Density functional theory data (GGA-PBE) for CrCdAs2 after structural relaxation.

Summary:
- Energy of formation: 0.25 eV per atom

Cell lengths 4.4389, 4.4389, 3.8107 Å; angles 90.00, 90.00, 90.00 degrees
Sites, in units of the cell vectors:
As  0.0000  0.0000  0.0000
As  0.5000  0.5000  0.0000
Cr  0.0000  0.5000  0.5000
Cd  0.5000  0.0000  0.5000

Density functional theory data (GGA-PBE) for CaPrTm2Sb4 after structural relaxation.

Summary:
- Formation energy (no corrections): -1.018 eV/atom

Cell lengths 4.4202, 7.7437, 7.6759 Å; angles 70.83, 90.00, 90.00 degrees
Sites, in units of the cell vectors:
Sb  0.0000  0.7644  0.7442
Sb  0.5000  0.7648  0.2455
Sb  0.0000  0.2356  0.2558
Sb  0.5000  0.2352  0.7545
Tm  0.0000  0.0000  0.0000
Tm  0.5000  0.0000  0.5000
Ca  0.0000  0.5000  0.5000
Pr  0.5000  0.5000  0.0000

Density functional theory data (GGA-PBE) for PrEr12Tm5 after structural relaxation.

Summary:
- Energy of formation: 0.03 eV per atom

Cell lengths 14.8951, 10.5395, 4.9628 Å; angles 90.00, 90.01, 45.06 degrees
Sites, in units of the cell vectors:
Er  0.3354  0.6645  0.0001
Er  0.6646  0.3355  0.9999
Er  0.1685  0.0000  0.5001
Er  0.5003  0.6676  0.5000
Er  0.8321  0.6677  0.5000
Er  0.4997  0.3324  0.5000
Er  0.0001  0.6646  0.9999
Er  0.8315  0.0000  0.4999
Er  0.3340  0.0000  0.0001
Er  0.9999  0.3355  0.0001
Er  0.1679  0.3323  0.5001
Er  0.6660  0.0000  0.9999
Tm  0.6664  0.6672  0.0000
Tm  0.8314  0.3372  0.5000
Tm  0.1686  0.6628  0.5000
Tm  0.3336  0.3328  0.0000
Tm  0.5000  0.0000  0.5000
Pr  0.0000  0.0000  0.0000

Density functional theory data (GGA-PBE) for MgAlBr2 after structural relaxation.

Summary:
- Formation energy (no corrections): -0.260 eV/atom
- Excess energy over the best structure of this formula in the dataset: 378.1 meV/atom

Cell lengths 5.2673, 5.2673, 5.2673 Å; angles 60.00, 60.00, 60.00 degrees
Sites, in units of the cell vectors:
Mg  0.0000  0.0000  0.0000
Al  0.5000  0.5000  0.5000
Br  0.7500  0.7500  0.7500
Br  0.2500  0.2500  0.2500

Density functional theory data (GGA-PBE) for LiYFe2 after structural relaxation.

Summary:
- Energy of formation: 0.49 eV per atom
- Excess energy over the best structure of this formula in the dataset: 344.5 meV/atom

Cell lengths 4.8873, 5.2599, 2.9447 Å; angles 77.89, 81.33, 114.98 degrees
Sites, in units of the cell vectors:
Li  0.0000  0.5000  0.5000
Y  0.5000  0.5000  0.0000
Fe  0.0000  0.0000  0.0000
Fe  0.5000  0.0000  0.5000

Number 1: DOS(E_F) 0.7 states/eV per cell. Number 2: DOS(E_F) 0.0 states/eV per cell. Number 3: DOS(E_F) 3.8 states/eV per cell. Number 4: DOS(E_F) 1.8 states/eV per cell. Number 5: DOS(E_F) 3.6 states/eV per cell. Number 6: DOS(E_F) 25.3 states/eV per cell. Number 7: DOS(E_F) 2.3 states/eV per cell. Number 8: DOS(E_F) 4.8 states/eV per cell.